A geometry-optimized MgRe2Hg structure, computed with GGA-PBEsol.

- Spin magnetization: 0.00 μB per cell
- E_form: 860 meV/atom
- Energy above the lowest structure with this stoichiometry: 1.49 eV per formula unit

Cell lengths 3.4266, 3.4266, 5.6281 Å; angles 90.00, 90.00, 90.00 degrees
Closest atoms and distances in Å follow each position.
Space group P4/mmm (No. 123)
Symmetry-distinct sites (fractional):
1 Mg 0.0000 0.0000 0.0000  8 Re 2.71, 2 Hg 2.81
2 Re 0.5000 0.5000 0.2139  1 Re 2.41
3 Hg 0.0000 0.0000 0.5000  2 Mg 2.81, 8 Re 2.91

---

A geometry-optimized LiTaS2 structure, computed with GGA-PBEsol.

- Spin magnetization: 6.96 μB per cell
- E_form (uncorrected): -677 meV per atom

Cell lengths 6.1362, 6.1362, 6.1362 Å; angles 90.00, 90.00, 90.00 degrees
Closest atoms and distances in Å follow each position.
Space group Fm-3m (No. 225)
Symmetry-distinct sites (fractional):
1 Li 0.0000 0.0000 0.0000  8 S 2.66
2 Ta 0.0000 0.0000 0.5000  8 S 2.66
3 S 0.2500 0.2500 0.2500  4 Ta 2.66, 4 Li 2.66

---

A geometry-optimized InGa2Hg2 structure, computed with GGA-PBEsol.

- Spin magnetization: 0.00 μB per cell
- E_form: 46 meV/atom
- Energy above the lowest structure with this stoichiometry: 0.00 eV per formula unit

Cell lengths 8.2908, 8.2908, 3.1983 Å; angles 90.00, 90.00, 90.00 degrees
Closest atoms and distances in Å follow each position.
Space group P4/mbm (No. 127)
Symmetry-distinct sites (fractional):
1 In 0.0000 0.0000 0.0000  4 Hg 3.10, 2 In 3.20
2 Ga 0.1328 0.3672 0.5000  6 Hg 2.86-2.95, 3 Ga 3.12-3.20
3 Hg 0.1645 0.6645 0.0000  6 Ga 2.86-2.95, 2 In 3.10, 2 Hg 3.20

---

A geometry-optimized Co2AgOs structure, computed with GGA-PBEsol.

- Spin magnetization: 2.04 μB per cell
- E_form: 466 meV/atom
- Energy above the lowest structure with this stoichiometry: 0.43 eV per formula unit

Cell lengths 2.6013, 3.6747, 5.3887 Å; angles 90.00, 90.00, 90.00 degrees
Closest atoms and distances in Å follow each position.
Space group Pmm2 (No. 25)
Symmetry-distinct sites (fractional):
1 Co 0.0000 0.0000 0.0000  1 Os 2.36, 6 Co 2.60, 4 Ag 2.63
2 Co 0.5000 0.5000 0.2429  4 Os 2.48, 6 Co 2.60, 2 Ag 2.68-2.71
3 Ag 0.5000 0.5000 0.7461  2 Ag 2.60, 6 Co 2.63-2.71, 4 Os 2.80
4 Os 0.0000 0.0000 0.4377  5 Co 2.36-2.48, 2 Os 2.60

---

A geometry-optimized Nb3H12C4NCl9 structure, computed with GGA-PBEsol.

- Spin magnetization: 0.00 μB per cell
- Electronic total energy: -155.76 eV per formula unit

Cell lengths 10.9173, 10.9173, 8.6369 Å; angles 90.00, 90.00, 120.00 degrees
Closest atoms and distances in Å follow each position.
Space group P-3m1 (No. 164)
Symmetry-distinct sites (fractional):
1 Nb 0.0923 0.1845 0.1430  5 Cl 2.43-2.47
2 H 0.1307 0.4827 0.6922  1 C 1.10
3 H 0.1863 0.5932 0.5220  1 C 1.10
4 H 0.2783 0.5567 0.9213  1 C 1.10
5 C 0.1846 0.5923 0.6494  3 H 1.10
6 C 0.3333 0.6667 0.8797  3 H 1.10
7 N 0.3333 0.6667 0.7072  4 C 1.49
8 Cl 0.0000 0.3137 0.0000  2 Nb 2.44
9 Cl 0.1038 0.2076 0.6769  2 Nb 2.43
10 Cl 0.1996 0.3991 0.3060  1 Nb 2.47

---

A geometry-optimized YMgPt3 structure, computed with GGA-PBEsol.

- Spin magnetization: 0.00 μB per cell
- E_form: -65 meV/atom

Cell lengths 4.6068, 4.6068, 4.6068 Å; angles 90.00, 90.00, 90.00 degrees
Closest atoms and distances in Å follow each position.
Space group Pm-3m (No. 221)
Symmetry-distinct sites (fractional):
1 Y 0.0000 0.0000 0.0000  12 Pt 3.26
2 Mg 0.5000 0.5000 0.5000  6 Pt 2.30
3 Pt 0.0000 0.5000 0.5000  2 Mg 2.30

---

A geometry-optimized IrPtCl2 structure, computed with GGA-PBEsol.

- Spin magnetization: 0.01 μB per cell
- E_form (uncorrected): 1082 meV per atom
- Energy above the lowest structure with this stoichiometry: 4.23 eV per formula unit

Cell lengths 2.9156, 2.9156, 7.3057 Å; angles 90.00, 90.00, 90.00 degrees
Closest atoms and distances in Å follow each position.
Space group P4/mmm (No. 123)
Symmetry-distinct sites (fractional):
1 Ir 0.0000 0.0000 0.0000  8 Cl 2.65, 4 Ir 2.92
2 Pt 0.0000 0.0000 0.5000  8 Cl 2.86, 4 Pt 2.92
3 Cl 0.5000 0.5000 0.2288  4 Ir 2.65, 4 Pt 2.86, 4 Cl 2.92

---

A geometry-optimized RbAuSe structure, computed with GGA-PBEsol.

- Spin magnetization: 0.00 μB per cell
- E_form (uncorrected): -676 meV per atom

Cell lengths 6.7465, 8.3590, 6.7468 Å; angles 90.00, 90.00, 90.00 degrees
Closest atoms and distances in Å follow each position.
Space group Cmcm (No. 63)
Symmetry-distinct sites (fractional):
1 Rb 0.0000 0.1343 0.2500  5 Se 3.43-3.62, 2 Au 3.49
2 Au 0.0000 0.5000 0.0000  2 Se 2.42
3 Se 0.0000 0.2921 0.7500  2 Au 2.42

---

A geometry-optimized Cr2AgP structure, computed with GGA-PBEsol.

- Spin magnetization: 3.80 μB per cell
- E_form: 389 meV/atom

Cell lengths 3.8553, 3.8553, 3.5138 Å; angles 90.00, 90.00, 90.00 degrees
Closest atoms and distances in Å follow each position.
Space group P4/mmm (No. 123)
Symmetry-distinct sites (fractional):
1 Cr 0.0000 0.5000 0.0000  4 P 2.61, 4 Ag 2.61, 4 Cr 2.73
2 Ag 0.0000 0.0000 0.5000  8 Cr 2.61, 4 P 2.73
3 P 0.5000 0.5000 0.5000  8 Cr 2.61, 4 Ag 2.73

---

A geometry-optimized SrZr2Cr structure, computed with GGA-PBEsol.

- Spin magnetization: 5.52 μB per cell
- E_form: 771 meV/atom
- Energy above the lowest structure with this stoichiometry: 0.75 eV per formula unit

Cell lengths 7.2141, 7.2141, 7.2141 Å; angles 90.00, 90.00, 90.00 degrees
Closest atoms and distances in Å follow each position.
Space group F-43m (No. 216)
Symmetry-distinct sites (fractional):
1 Sr 0.0000 0.0000 0.0000  4 Zr 3.12, 4 Cr 3.12
2 Zr 0.0000 0.0000 0.5000  4 Cr 3.12, 4 Zr 3.12
3 Zr 0.2500 0.2500 0.7500  4 Zr 3.12, 4 Sr 3.12
4 Cr 0.2500 0.2500 0.2500  4 Zr 3.12, 4 Sr 3.12

---

A geometry-optimized CoWAu2 structure, computed with GGA-PBEsol.

- Spin magnetization: 1.21 μB per cell
- E_form: 405 meV/atom
- Energy above the lowest structure with this stoichiometry: 0.10 eV per formula unit

Cell lengths 2.7430, 4.0796, 5.3260 Å; angles 90.00, 90.00, 90.00 degrees
Closest atoms and distances in Å follow each position.
Space group Pmmm (No. 47)
Symmetry-distinct sites (fractional):
1 Co 0.0000 0.0000 0.0000  2 W 2.66, 2 Co 2.74, 8 Au 2.79
2 W 0.0000 0.0000 0.5000  2 Co 2.66, 2 W 2.74, 8 Au 2.80
3 Au 0.5000 0.5000 0.2479  4 Au 2.64-2.74, 4 Co 2.79, 4 W 2.80

---

A geometry-optimized SrCaPb2 structure, computed with GGA-PBEsol.

- Spin magnetization: 0.00 μB per cell
- E_form: -554 meV/atom

Cell lengths 5.0913, 5.0913, 4.6781 Å; angles 90.00, 90.00, 90.00 degrees
Closest atoms and distances in Å follow each position.
Space group P4/mmm (No. 123)
Symmetry-distinct sites (fractional):
1 Sr 0.0000 0.0000 0.0000  8 Pb 3.46, 4 Ca 3.60
2 Ca 0.5000 0.5000 0.0000  8 Pb 3.46, 4 Sr 3.60
3 Pb 0.0000 0.5000 0.5000  4 Ca 3.46, 4 Sr 3.46, 4 Pb 3.60

---

A geometry-optimized AlTeOs2 structure, computed with GGA-PBEsol.

- Spin magnetization: 0.00 μB per cell
- E_form (uncorrected): 693 meV per atom
- Energy above the lowest structure with this stoichiometry: 1.80 eV per formula unit

Cell lengths 5.8867, 8.5617, 2.9847 Å; angles 90.00, 120.23, 90.00 degrees
Closest atoms and distances in Å follow each position.
Space group C2/m (No. 12)
Symmetry-distinct sites (fractional):
1 Al 0.0000 0.0000 0.0000  4 Os 2.60
2 Te 0.0000 0.5000 0.0000  4 Os 2.60
3 Os 0.2500 0.2500 0.5000  2 Te 2.60, 2 Al 2.60

---

A geometry-optimized InMo2Ir2 structure, computed with GGA-PBEsol.

- Spin magnetization: 0.00 μB per cell
- E_form: 220 meV/atom

Cell lengths 3.8741, 3.8741, 11.6704 Å; angles 90.00, 90.00, 90.00 degrees
Closest atoms and distances in Å follow each position.
Space group I4/mmm (No. 139)
Symmetry-distinct sites (fractional):
1 In 0.0000 0.0000 0.0000  8 Ir 3.00
2 Mo 0.0000 0.5000 0.2500  4 Ir 2.57, 4 Mo 2.74
3 Ir 0.0000 0.0000 0.3946  1 Ir 2.46, 4 Mo 2.57

---

A geometry-optimized BiIrSe2 structure, computed with GGA-PBEsol.

- Spin magnetization: 0.00 μB per cell
- E_form (uncorrected): -206 meV per atom

Cell lengths 3.6777, 3.6777, 25.2309 Å; angles 90.00, 90.00, 120.00 degrees
Closest atoms and distances in Å follow each position.
Space group R-3m (No. 166, hexagonal axes)
Symmetry-distinct sites (fractional):
1 Bi 0.0000 0.0000 0.0000  2 Se 2.95
2 Ir 0.0000 0.0000 0.5000  6 Se 2.47
3 Se 0.0000 0.0000 0.1167  3 Ir 2.47

---

A geometry-optimized Fe2CuMo structure, computed with GGA-PBEsol.

- Spin magnetization: 7.78 μB per cell
- E_form: 227 meV/atom
- Energy above the lowest structure with this stoichiometry: 0.17 eV per formula unit

Cell lengths 8.4739, 2.5135, 4.5898 Å; angles 90.00, 97.36, 90.00 degrees
Closest atoms and distances in Å follow each position.
Space group C2/m (No. 12)
Symmetry-distinct sites (fractional):
1 Fe 0.2444 0.0000 0.2413  6 Fe 2.51-2.68, 3 Mo 2.52-2.65, 3 Cu 2.55-2.56
2 Cu 0.0000 0.5000 0.0000  2 Cu 2.51, 6 Fe 2.55-2.56, 4 Mo 2.62
3 Mo 0.0000 0.0000 0.5000  2 Mo 2.51, 6 Fe 2.52-2.65, 4 Cu 2.62

---

A geometry-optimized Fe2HgMo structure, computed with GGA-PBEsol.

- Spin magnetization: 8.94 μB per cell
- E_form: 385 meV/atom

Cell lengths 3.3168, 4.2474, 8.1970 Å; angles 90.00, 90.00, 90.00 degrees
Closest atoms and distances in Å follow each position.
Space group Cmm2 (No. 35)
Symmetry-distinct sites (fractional):
1 Fe 0.0000 0.0000 0.0000  2 Fe 2.36
2 Fe 0.0000 0.5000 0.2051  2 Fe 2.36, 2 Mo 2.51
3 Hg 0.0000 0.5000 0.7316  4 Hg 2.69, 2 Fe 2.76, 2 Mo 2.94
4 Mo 0.0000 0.0000 0.4351  2 Fe 2.51, 4 Mo 2.69

---

A geometry-optimized MnBN2 structure, computed with GGA-PBEsol.

- Spin magnetization: 7.95 μB per cell
- E_form (uncorrected): -557 meV per atom

Cell lengths 4.1469, 4.1469, 7.1522 Å; angles 90.00, 90.00, 90.00 degrees
Closest atoms and distances in Å follow each position.
Space group I-42d (No. 122)
Symmetry-distinct sites (fractional):
1 Mn 0.0000 0.0000 0.0000  4 N 1.90
2 B 0.0000 0.0000 0.5000  4 N 1.57
3 N 0.1831 0.7500 0.6250  2 B 1.57

---

A geometry-optimized CsZrSn3 structure, computed with GGA-PBEsol.

- Spin magnetization: 0.00 μB per cell
- E_form: -91 meV/atom

Cell lengths 5.5743, 5.5743, 5.5743 Å; angles 90.00, 90.00, 90.00 degrees
Closest atoms and distances in Å follow each position.
Space group Pm-3m (No. 221)
Symmetry-distinct sites (fractional):
1 Cs 0.0000 0.0000 0.0000  12 Sn 3.94
2 Zr 0.5000 0.5000 0.5000  6 Sn 2.79
3 Sn 0.0000 0.5000 0.5000  2 Zr 2.79

---

A geometry-optimized P3OsBr structure, computed with GGA-PBEsol.

- Spin magnetization: 0.00 μB per cell
- E_form (uncorrected): 618 meV per atom

Cell lengths 4.5923, 4.5923, 4.5923 Å; angles 90.00, 90.00, 90.00 degrees
Closest atoms and distances in Å follow each position.
Space group Pm-3m (No. 221)
Symmetry-distinct sites (fractional):
1 P 0.0000 0.0000 0.5000  2 Os 2.30
2 Os 0.0000 0.0000 0.0000  6 P 2.30
3 Br 0.5000 0.5000 0.5000  12 P 3.25